Density functional theory data (PBE) for a relaxed Cd2HRh2 crystal.

Cell: 5.5279 5.5279 4.8022 Å, 90.00 90.00 90.00°
Element x y z (fractional)
Rh 0.3265 0.8265 0.0000
Rh 0.6735 0.1735 0.0000
Cd 0.3289 0.1711 0.5000
Cd 0.6711 0.8289 0.5000
Rh 0.1735 0.3265 0.0000
Rh 0.8265 0.6735 0.0000
H 0.5000 0.5000 0.0000
H 0.0000 0.0000 0.0000
Cd 0.1711 0.6711 0.5000
Cd 0.8289 0.3289 0.5000

Values from the calculation:
Calculated total energy in eV for the cell shown: -39.22